(1)
# BeZn | Alexandria via LeMat-Bulk | GGA-PBE | relaxed
data_BeZn
_cell_length_a 2.600
_cell_length_b 9.189
_cell_length_c 3.843
_cell_angle_alpha 90.00
_cell_angle_beta 90.00
_cell_angle_gamma 90.00
_space_group_name_H-M_alt 'C m c m'
_space_group_IT_number 63
_space_group_name_Hall '-C 2c 2'
loop_
_atom_site_label
_atom_site_fract_x
_atom_site_fract_y
_atom_site_fract_z
Be1 0.000 0.062 0.250
Zn1 0.000 0.337 0.250
# spin magnetization = 0.000 μB/atom
# volume = 23 Å³/f.u.
# D(E_F) = 3.02 states/eV per cell
# calculated formation energy = 0.2233 eV per atom
# E_tot = -2.277 eV per atom
# ρ = 5.38 g cm⁻³

=====

(2)
# La4Cd3Sn | Alexandria via LeMat-Bulk | GGA-PBE | relaxed
data_La4Cd3Sn
_cell_length_a 5.5630
_cell_length_b 5.5630
_cell_length_c 27.3906
_cell_angle_alpha 90.00
_cell_angle_beta 90.00
_cell_angle_gamma 120.00
_space_group_name_H-M_alt 'R -3 m'
_space_group_IT_number 166
_space_group_name_Hall '-R 3 2"'
loop_
_atom_site_label
_atom_site_fract_x
_atom_site_fract_y
_atom_site_fract_z
La1 0.0000 0.0000 0.1232
La2 0.0000 0.0000 0.3736
Cd1 0.0000 0.0000 0.2449
Cd2 0.0000 0.0000 0.5000
Sn1 0.0000 0.0000 0.0000
# spin magnetization = 0.000 μB/atom
# volume = 245 Å³/f.u.
# D(E_F) = 32.92 states/eV per cell
# calculated formation energy = -0.4512 eV per atom
# E_tot = -3.758 eV per atom
# ρ = 6.86 g cm⁻³